(1)
Below is an optimized crystal structure of SmPb2Cl8, with properties calculated at the GGA-PBE level.

Spin magnetization   0.00 μB per atom
E_tot   -0.280 Ry per atom
V   379.4 Å³ per cell
ΔE_f (raw)   -1.36 eV/atom
Crystal system   monoclinic

Cell: 7.011 7.774 7.774 Å, 71.55 74.45 74.45°
Positions (direct):
Cl  0.243  0.039  0.657
Cl  0.815  0.424  0.424
Cl  0.264  0.116  0.116
Cl  0.185  0.576  0.576
Cl  0.757  0.343  0.961
Cl  0.243  0.657  0.039
Cl  0.736  0.884  0.884
Cl  0.757  0.961  0.343
Sm  0.000  0.000  0.000
Pb  0.784  0.656  0.656
Pb  0.216  0.344  0.344

***

(2)
Below is an optimized crystal structure of Sm2PbCl8, with properties calculated at the GGA-PBE level.

Spin magnetization   0.00 μB per atom
E_tot   -0.329 Ry per atom
V   338.6 Å³ per cell
ΔE_f (raw)   -1.94 eV/atom
Crystal system   monoclinic

Cell: 4.016 7.851 10.983 Å, 84.21 100.53 90.00°
Positions (direct):
Cl  0.026  0.739  0.052
Cl  0.618  0.466  0.236
Cl  0.364  0.077  0.727
Cl  0.382  0.534  0.764
Cl  0.974  0.261  0.948
Cl  0.243  0.333  0.486
Cl  0.636  0.923  0.273
Cl  0.757  0.667  0.514
Pb  0.500  0.000  0.000
Sm  0.839  0.344  0.678
Sm  0.161  0.656  0.322

***

(3)
Below is an optimized crystal structure of SmTlPb2Cl8, with properties calculated at the GGA-PBE level.

Spin magnetization   0.00 μB per atom
E_tot   -0.290 Ry per atom
V   411.9 Å³ per cell
ΔE_f (raw)   -1.50 eV/atom
Crystal system   monoclinic

Cell: 6.901 6.642 8.986 Å, 89.99 89.99 89.24°
Positions (direct):
Cl  0.837  0.232  0.784
Cl  0.837  0.232  0.216
Cl  0.163  0.768  0.216
Cl  0.637  0.720  0.500
Cl  0.163  0.768  0.784
Cl  0.316  0.249  0.000
Cl  0.684  0.751  0.000
Cl  0.363  0.280  0.500
Sm  0.000  0.000  0.000
Pb  0.500  0.500  0.252
Pb  0.500  0.500  0.748
Tl  0.000  0.000  0.500

***

Question: Among the records above, which one has the highest ΔE_f (raw)?
Answer: SmPb2Cl8

***

Question: The highest E_tot belongs to which entry?
Answer: SmPb2Cl8